KV3O7: relaxed, GGA+U.

Total DFT energy (no corrections)   -7.17 eV/atom
Mass density   2.12 g/cm³
Volume   238.0 Å³ per cell
Magnetization   2.0 μB/f.u.
Symmetry   No. 1

The structure in POSCAR format:
```
KV3O7
1.0
0.5170 -6.3514 0.7848
2.2105 0.3447 -5.4067
5.3197 -2.2220 4.6992
K V O
1 3 7
Direct
0.4394 0.5375 0.3189
0.3885 0.8891 0.8727
0.0313 0.4866 0.8097
0.5345 0.4324 0.7830
0.8667 0.4128 0.6613
0.4457 0.1978 0.9439
0.4099 0.7213 0.0239
0.2990 0.3289 0.6715
0.1170 0.8087 0.8487
0.5884 0.7332 0.6391
0.8796 0.4516 0.0424
```